A plane-wave DFT calculation with GGA-PBE was carried out for a relaxed structure of CdAgRh2O.

Output
* formation energy (no corrections): 8.9 eV per formula unit
* mass density: 5.73 g/cm³
* magnetic moment: 3.19 Bohr magnetons per cell
* D(E_F): 1.54 states/eV per atom
* SG: P4/mmm

```
data_CdAgRh2O
_chemical_formula_sum 'Cd1 Ag1 Rh2 O1'
_cell_length_a 5.007
_cell_length_b 5.111
_cell_length_c 5.007
_cell_angle_alpha 90.00
_cell_angle_beta 90.00
_cell_angle_gamma 90.00
_symmetry_space_group_name_H-M 'P 1'
_symmetry_Int_Tables_number 1
loop_
_symmetry_equiv_pos_as_xyz
'x,y,z'
loop_
_atom_site_label
_atom_site_fract_x
_atom_site_fract_y
_atom_site_fract_z
_atom_site_occupancy
Rh1 0.000 0.000 0.500 1
Rh2 0.500 0.000 0.000 1
O1 0.500 0.500 0.500 1
Ag1 0.000 0.500 0.000 1
Cd1 0.000 0.000 0.000 1
```



A plane-wave DFT calculation with GGA-PBE was carried out for a relaxed structure of Cd2Ag3RuO6.

Output
* formation energy (no corrections): -7.6 eV per formula unit
* mass density: 6.72 g/cm³
* magnetic moment: 2.95 Bohr magnetons per cell
* D(E_F): 0.20 states/eV per atom
* SG: C2/m

```
data_Cd2Ag3RuO6
_chemical_formula_sum 'Cd2 Ag3 Ru1 O6'
_cell_length_a 5.803
_cell_length_b 5.803
_cell_length_c 6.638
_cell_angle_alpha 81.44
_cell_angle_beta 81.44
_cell_angle_gamma 120.24
_symmetry_space_group_name_H-M 'P 1'
_symmetry_Int_Tables_number 1
loop_
_symmetry_equiv_pos_as_xyz
'x,y,z'
loop_
_atom_site_label
_atom_site_fract_x
_atom_site_fract_y
_atom_site_fract_z
_atom_site_occupancy
Cd1 0.333 0.667 0.000 1
Cd2 0.667 0.333 0.000 1
Ag1 0.148 0.852 0.500 1
Ag2 0.852 0.148 0.500 1
Ag3 0.500 0.500 0.500 1
Ru1 0.000 0.000 0.000 1
O1 0.059 0.770 0.830 1
O2 0.652 0.652 0.171 1
O3 0.941 0.230 0.170 1
O4 0.770 0.059 0.830 1
O5 0.348 0.348 0.829 1
O6 0.230 0.941 0.170 1
```



A plane-wave DFT calculation with GGA-PBE was carried out for a relaxed structure of Cd2AgRuO6.

Output
* formation energy (no corrections): -6.8 eV per formula unit
* mass density: 6.67 g/cm³
* magnetic moment: 0.95 Bohr magnetons per cell
* D(E_F): 0.35 states/eV per atom
* SG: R3

```
data_Cd2AgRuO6
_chemical_formula_sum 'Cd2 Ag1 Ru1 O6'
_cell_length_a 5.647
_cell_length_b 5.647
_cell_length_c 5.782
_cell_angle_alpha 60.77
_cell_angle_beta 60.77
_cell_angle_gamma 60.00
_symmetry_space_group_name_H-M 'P 1'
_symmetry_Int_Tables_number 1
loop_
_symmetry_equiv_pos_as_xyz
'x,y,z'
loop_
_atom_site_label
_atom_site_fract_x
_atom_site_fract_y
_atom_site_fract_z
_atom_site_occupancy
Cd1 0.535 0.535 0.394 1
Cd2 0.035 0.035 0.896 1
Ag1 0.802 0.802 0.594 1
Ru1 0.315 0.315 0.056 1
O1 0.564 0.209 0.245 1
O2 0.209 0.982 0.245 1
O3 0.982 0.564 0.245 1
O4 0.418 0.669 0.780 1
O5 0.669 0.133 0.780 1
O6 0.133 0.418 0.780 1
```